(1)
AlSeBr2O | meta-GGA SCAN | PBEsol geometry

The structure in extended XYZ format:
```
5
Lattice="4.941 0.000 0.000 0.000 4.941 0.000 0.000 0.000 4.909" Properties=species:S:1:pos:R:3 pbc="T T T"
Al 0.000 0.000 0.000
Se 0.000 0.000 2.454
Br 0.000 2.471 0.000
Br 2.471 0.000 0.000
O 2.471 2.471 2.454
```

Output
Raw formation energy ... 0.168 eV/atom


(2)
AlOsBr2 | meta-GGA SCAN | PBEsol geometry

The structure in extended XYZ format:
```
4
Lattice="-1.537 2.051 7.105 1.537 -2.051 7.105 1.537 2.051 -7.105" Properties=species:S:1:pos:R:3 pbc="T T T"
Al 0.000 0.000 0.000
Os 0.000 0.000 7.105
Br 1.537 0.000 4.971
Br 0.000 2.051 2.133
```

Output
Polymorph energy (0 for the lowest one) ... 0.000 eV per atom
Raw formation energy ... 0.154 eV/atom


| no. | ρ (Mg/m³) |
| --- | --- |
| 1 | 3.90 |
| 2 | 6.99 |